No. 1
Material: BaSbS2Cl
Method: DFT, PBE-GGA
State: optimized geometry

Unit cell a=5.254 b=5.254 c=5.257 alpha=90.00 beta=90.00 gamma=90.00
Fractional positions:
S 0.500 0.000 0.000
S 0.000 0.500 0.000
Cl 0.000 0.000 0.500
Sb 0.000 0.000 0.000
Ba 0.500 0.500 0.500

Output
Fermi-level density of states	0.41	states/eV per cell
E_form (uncorrected)	-512	kJ/mol of formula units
ΔE to the lowest computed polymorph	0.0	meV per atom
calculated density	4.1	g cm⁻³
total magnetic moment	0.0	μB per formula unit
symmetry	P4/mmm (123)
energy	-4.29	eV/atom

No. 2
Material: BaSb2SCl
Method: DFT, PBE-GGA
State: optimized geometry

Unit cell a=5.234 b=6.180 c=5.234 alpha=90.00 beta=90.00 gamma=90.00
Fractional positions:
Cl 0.000 0.000 0.000
Sb 0.500 0.000 0.000
Ba 0.000 0.500 0.000
Sb 0.000 0.000 0.500
S 0.500 0.500 0.500

Output
Fermi-level density of states	5.53	states/eV per cell
E_form (uncorrected)	8	kJ/mol of formula units
calculated density	4.4	g cm⁻³
total magnetic moment	0.0	μB per formula unit
symmetry	P4/mmm (123)
energy	-3.21	eV/atom

No. 3
Material: BaScS2Cl
Method: DFT, PBE-GGA
State: optimized geometry

Unit cell a=5.050 b=5.050 c=4.990 alpha=90.00 beta=90.00 gamma=90.00
Fractional positions:
Cl 0.000 0.000 0.500
Ba 0.500 0.500 0.500
S 0.500 0.000 0.000
S 0.000 0.500 0.000
Sc 0.000 0.000 0.000

Output
E_form (uncorrected)	-974	kJ/mol of formula units
ΔE to the lowest computed polymorph	0.0	meV per atom
calculated density	3.7	g cm⁻³
total magnetic moment	0.0	μB per formula unit
symmetry	P4/mmm (123)
energy	-5.69	eV/atom

No. 4
Material: BaScS2Cl
Method: DFT, PBE-GGA
State: optimized geometry

Unit cell a=5.733 b=5.733 c=5.584 alpha=90.00 beta=90.00 gamma=90.00
Each line ends with the local moment (μB).
Fractional positions:
S 0.000 0.500 0.000  0.01
S 0.500 0.000 0.000  0.01
Sc 0.500 0.500 0.500  0.14
Ba 0.000 0.000 0.000  0.00
Cl 0.000 0.000 0.500  0.00

Output
Fermi-level density of states	5.58	states/eV per cell
E_form (uncorrected)	-143	kJ/mol of formula units
ΔE to the lowest computed polymorph	1722.9	meV per atom
calculated density	2.6	g cm⁻³
total magnetic moment	0.2	μB per formula unit
symmetry	P4/mmm (123)
energy	-3.97	eV/atom

No. 5
Material: Ba4SeS2Cl
Method: DFT, PBE-GGA
State: optimized geometry

Unit cell a=9.181 b=9.181 c=9.207 alpha=120.10 beta=120.10 gamma=89.88
Fractional positions:
S 0.500 0.000 0.000
Ba 0.253 0.247 0.513
Se 0.000 0.500 0.500
S 0.500 0.500 0.000
S 0.000 0.000 0.500
Ba 0.253 0.247 0.987
Ba 0.262 0.750 0.006
Ba 0.750 0.238 0.494
Ba 0.747 0.753 0.487
Ba 0.250 0.762 0.506
Se 0.000 0.500 0.000
Ba 0.738 0.250 0.994
Cl 0.500 0.500 0.500
Cl 0.000 0.000 0.000
S 0.500 0.000 0.500
Ba 0.747 0.753 0.013

Output
Fermi-level density of states	6.38	states/eV per cell
E_form (uncorrected)	-1568	kJ/mol of formula units
calculated density	4.4	g cm⁻³
total magnetic moment	0.0	μB per formula unit
symmetry	Imma (74)
energy	-4.69	eV/atom

No. 6
Material: Ba4SeSCl2
Method: DFT, PBE-GGA
State: optimized geometry

Unit cell a=4.591 b=7.946 c=7.959 alpha=70.55 beta=90.00 gamma=90.00
Fractional positions:
Se 0.000 0.500 0.500
Ba 0.000 0.732 0.763
Cl 0.500 0.000 0.500
Ba 0.500 0.737 0.247
S 0.500 0.500 0.000
Ba 0.500 0.263 0.753
Cl 0.000 0.000 0.000
Ba 0.000 0.268 0.237

Output
Fermi-level density of states	3.89	states/eV per cell
E_form (uncorrected)	-1506	kJ/mol of formula units
calculated density	4.4	g cm⁻³
total magnetic moment	0.0	μB per formula unit
symmetry	P2/m (10)
energy	-4.33	eV/atom

No. 7
Material: Ba6Se3S2Cl
Method: DFT, PBE-GGA
State: optimized geometry

Unit cell a=4.641 b=9.276 c=10.351 alpha=102.64 beta=102.95 gamma=90.00
Fractional positions:
S 0.165 0.331 0.331
Ba 0.997 0.740 0.994
Cl 0.500 0.000 0.000
Ba 0.669 0.579 0.339
Se 0.500 0.500 0.000
Se 0.836 0.165 0.672
Ba 0.329 0.907 0.659
Ba 0.331 0.421 0.661
Se 0.164 0.835 0.328
Ba 0.003 0.260 0.006
Ba 0.671 0.093 0.341
S 0.835 0.669 0.669

Output
Fermi-level density of states	3.21	states/eV per cell
E_form (uncorrected)	-2356	kJ/mol of formula units
calculated density	4.6	g cm⁻³
total magnetic moment	0.0	μB per formula unit
symmetry	C2/m (12)
energy	-4.71	eV/atom

No. 8
Material: Ba6Se3SCl2
Method: DFT, PBE-GGA
State: optimized geometry

Unit cell a=8.047 b=8.047 c=7.967 alpha=99.70 beta=99.70 gamma=119.90
Fractional positions:
Se 0.169 0.831 0.500
Se 0.500 0.500 0.500
S 0.000 0.000 0.000
Ba 0.916 0.593 0.747
Ba 0.238 0.238 0.747
Ba 0.084 0.407 0.253
Cl 0.334 0.666 0.000
Cl 0.666 0.334 0.000
Ba 0.762 0.762 0.253
Ba 0.407 0.084 0.253
Ba 0.593 0.916 0.747
Se 0.831 0.169 0.500

Output
Fermi-level density of states	3.00	states/eV per cell
E_form (uncorrected)	-2313	kJ/mol of formula units
calculated density	4.6	g cm⁻³
total magnetic moment	0.0	μB per formula unit
symmetry	C2/m (12)
energy	-4.48	eV/atom

No. 9
Material: BaSiSCl2
Method: DFT, PBE-GGA
State: optimized geometry

Unit cell a=5.767 b=5.767 c=6.140 alpha=90.00 beta=90.00 gamma=90.00
Each line ends with the local moment (μB).
Fractional positions:
Cl 0.500 0.000 0.000  -0.01
Cl 0.000 0.500 0.000  -0.01
S 0.000 0.000 0.500  0.14
Si 0.500 0.500 0.500  0.03
Ba 0.000 0.000 0.000  0.01

Output
Fermi-level density of states	3.06	states/eV per cell
E_form (uncorrected)	-103	kJ/mol of formula units
ΔE to the lowest computed polymorph	984.9	meV per atom
calculated density	2.2	g cm⁻³
total magnetic moment	0.3	μB per formula unit
symmetry	P4/mmm (123)
energy	-3.25	eV/atom

No. 10
Material: BaSiSCl2
Method: DFT, PBE-GGA
State: optimized geometry

Unit cell a=5.034 b=5.034 c=5.037 alpha=90.00 beta=90.00 gamma=90.00
Fractional positions:
Ba 0.500 0.500 0.500
Cl 0.500 0.000 0.000
Cl 0.000 0.500 0.000
S 0.000 0.000 0.500
Si 0.000 0.000 0.000

Output
Fermi-level density of states	0.52	states/eV per cell
E_form (uncorrected)	-578	kJ/mol of formula units
ΔE to the lowest computed polymorph	0.0	meV per atom
calculated density	3.5	g cm⁻³
total magnetic moment	0.0	μB per formula unit
symmetry	P4/mmm (123)
energy	-4.23	eV/atom

No. 11
Material: Ba6SiS2Cl3
Method: DFT, PBE-GGA
State: optimized geometry

Unit cell a=8.026 b=8.026 c=8.063 alpha=99.53 beta=99.53 gamma=120.02
Fractional positions:
Ba 0.743 0.743 0.229
Ba 0.409 0.076 0.228
S 0.334 0.666 0.000
Ba 0.257 0.257 0.771
Cl 0.500 0.500 0.500
Ba 0.076 0.409 0.228
Si 0.000 0.000 0.000
Ba 0.924 0.591 0.772
Cl 0.166 0.834 0.500
Ba 0.591 0.924 0.772
Cl 0.834 0.166 0.500
S 0.666 0.334 0.000

Output
Fermi-level density of states	3.81	states/eV per cell
E_form (uncorrected)	-2002	kJ/mol of formula units
calculated density	4.0	g cm⁻³
total magnetic moment	0.0	μB per formula unit
symmetry	C2/m (12)
energy	-4.29	eV/atom

No. 12
Material: BaSnSCl2
Method: DFT, PBE-GGA
State: optimized geometry

Unit cell a=5.720 b=5.720 c=6.178 alpha=90.00 beta=90.00 gamma=90.00
Fractional positions:
Cl 0.500 0.000 0.000
Sn 0.500 0.500 0.500
S 0.000 0.000 0.500
Ba 0.000 0.000 0.000
Cl 0.000 0.500 0.000

Output
Fermi-level density of states	1.11	states/eV per cell
E_form (uncorrected)	-372	kJ/mol of formula units
ΔE to the lowest computed polymorph	496.3	meV per atom
calculated density	2.9	g cm⁻³
total magnetic moment	0.0	μB per formula unit
symmetry	P4/mmm (123)
energy	-3.52	eV/atom